First-principles (GGA-PBE) data for a geometry-optimized K3CaIn8 structure, as listed in Alexandria via LeMat-Bulk.

a = 6.3968 Å, b = 6.3968 Å, c = 10.9904 Å
α = 73.08°, β = 73.08°, γ = 60.00°
Element x y z (fractional)
K1 0.4985 0.4985 0.5046
K2 0.0010 0.0010 0.9971
K3 0.3748 0.3748 0.8757
In1 0.4362 0.9333 0.1943
In2 0.9333 0.4362 0.1943
In3 0.9384 0.9384 0.6809
In4 0.6889 0.6889 0.9334
In5 0.4424 0.9384 0.6809
In6 0.9384 0.4424 0.6809
In7 0.4362 0.4362 0.1943
In8 0.1866 0.1866 0.4401
Ca1 0.8754 0.8754 0.3737

D(E_F) = 7.58 states/eV/cell
total energy = -2.4346 eV per atom
crystal system = trigonal

---

First-principles (GGA-PBE) data for a geometry-optimized KCa2In structure, as listed in Alexandria via LeMat-Bulk.

a = 7.5861 Å, b = 7.5861 Å, c = 7.5861 Å
α = 149.73°, β = 134.01°, γ = 56.05°
Element x y z (fractional)
K1 0.2927 0.7927 0.5000
Ca1 0.9952 0.9952 0.0000
Ca2 0.6994 0.1994 0.5000
In1 0.5127 0.5127 0.0000

D(E_F) = 2.78 states/eV/cell
total energy = -1.9858 eV per atom
crystal system = orthorhombic

---

First-principles (GGA-PBE) data for a geometry-optimized K2CaIn structure, as listed in Alexandria via LeMat-Bulk.

a = 6.1967 Å, b = 6.1967 Å, c = 7.4918 Å
α = 67.82°, β = 67.82°, γ = 44.66°
Element x y z (fractional)
K1 0.9536 0.9536 0.0136
K2 0.7522 0.7522 0.7309
In1 0.2497 0.2497 0.3693
Ca1 0.5444 0.5444 0.3863

D(E_F) = 3.25 states/eV/cell
total energy = -1.7168 eV per atom
crystal system = monoclinic

---

First-principles (GGA-PBE) data for a geometry-optimized KCa2In structure, as listed in Alexandria via LeMat-Bulk.

a = 7.3285 Å, b = 7.3285 Å, c = 7.3285 Å
α = 148.52°, β = 127.43°, γ = 62.57°
Element x y z (fractional)
In1 0.7500 0.2500 0.5000
Ca1 0.5440 0.5440 0.0000
Ca2 0.9560 0.9560 0.0000
K1 0.2500 0.7500 0.5000

D(E_F) = 2.83 states/eV/cell
total energy = -2.0128 eV per atom
crystal system = orthorhombic

---

First-principles (GGA-PBE) data for a geometry-optimized K2CaIn structure, as listed in Alexandria via LeMat-Bulk.

a = 4.2438 Å, b = 4.1455 Å, c = 10.6903 Å
α = 90.00°, β = 90.00°, γ = 90.00°
Element x y z (fractional)
Ca1 0.0000 0.0000 0.5757
K1 0.5000 0.5000 0.2872
K2 0.0000 0.0000 0.9326
In1 0.5000 0.5000 0.7045

D(E_F) = 3.49 states/eV/cell
total energy = -1.8071 eV per atom
crystal system = orthorhombic

---

First-principles (GGA-PBE) data for a geometry-optimized KCa4In5 structure, as listed in Alexandria via LeMat-Bulk.

a = 3.9295 Å, b = 3.9295 Å, c = 19.7252 Å
α = 90.00°, β = 90.00°, γ = 90.00°
Element x y z (fractional)
Ca1 0.0000 0.0000 0.7836
Ca2 0.0000 0.0000 0.5942
Ca3 0.0000 0.0000 0.2164
Ca4 0.0000 0.0000 0.4058
K1 0.0000 0.0000 0.0000
In1 0.5000 0.5000 0.3084
In2 0.5000 0.5000 0.8726
In3 0.5000 0.5000 0.5000
In4 0.5000 0.5000 0.1274
In5 0.5000 0.5000 0.6916

D(E_F) = 4.37 states/eV/cell
total energy = -2.6483 eV per atom
crystal system = tetragonal

---

The calculation returns the following DFT formation energy values, one per record and in order: -2.01 -0.10 0.07 -0.21 -0.29 -3.69 eV/f.u..